Tb3Pm2ScSe6 (PBE, optimized geometry); energy = -5.9696 eV per atom; space group = No. 12; Fermi-level density of states = 6.16 states/eV/f.u.; magnetic moment = 0.00 μB/f.u.
1.0
8.913 -2.042 0.000
8.913 2.042 0.000
-1.861 0.000 8.020
Tb Pm Sc Se
3 2 1 6
Cartesian
0.000 0.000 0.000 Tb
4.611 0.000 5.329 Tb
11.354 0.000 2.691 Tb
5.615 0.000 1.326 Pm
10.350 0.000 6.694 Pm
-0.931 0.000 4.010 Sc
1.779 0.000 4.602 Se
2.752 0.000 0.710 Se
7.474 0.000 5.914 Se
8.491 0.000 2.106 Se
13.213 0.000 7.310 Se
14.186 0.000 3.418 Se